Entry 1:
A plane-wave DFT calculation with PBE-GGA was carried out for an optimized crystal structure of KUAg2I8.

a = 7.4493 Å, b = 7.4493 Å, c = 10.2851 Å
α = 90.08°, β = 90.08°, γ = 71.76°
Element x y z (fractional)
K 0.0000 0.0000 0.0000
U 0.0000 0.0000 0.5000
Ag 0.3257 0.3257 0.7409
Ag 0.6743 0.6743 0.2591
I 0.2387 0.7587 0.2978
I 0.2413 0.7613 0.7022
I 0.2458 0.2458 0.4885
I 0.2911 0.2911 0.9975
I 0.7089 0.7089 0.0025
I 0.7542 0.7542 0.5115
I 0.7587 0.2387 0.2978
I 0.7613 0.2413 0.7022

Calculated values
Energy in eV per atom: -3.187
ΔE_f (raw) in eV/f.u.: -7.751
Space group: C2/m
Volume in Å³/cell: 542.1

***

Entry 2:
A plane-wave DFT calculation with PBE-GGA was carried out for an optimized crystal structure of KVAgI6.

a = 7.3943 Å, b = 7.4518 Å, c = 7.7580 Å
α = 87.93°, β = 61.60°, γ = 85.56°
Element x y z (fractional)
K 0.0000 0.0000 0.0000
V 0.3371 0.4997 0.3267
Ag 0.6565 0.5000 0.6883
I 0.0175 0.2923 0.6219
I 0.0193 0.7377 0.3887
I 0.3369 0.2977 0.0468
I 0.3617 0.7077 0.6224
I 0.5931 0.2621 0.3893
I 0.6172 0.7012 0.0473

Calculated values
Energy in eV per atom: -3.019
ΔE_f (raw) in eV/f.u.: -4.800
Space group: P1
Volume in Å³/cell: 374.9

***

Entry 3:
A plane-wave DFT calculation with PBE-GGA was carried out for an optimized crystal structure of KYAg2I6.

a = 10.4693 Å, b = 10.4693 Å, c = 8.1000 Å
α = 96.12°, β = 96.12°, γ = 87.58°
Element x y z (fractional)
K 0.0813 0.9187 0.7500
K 0.9187 0.0813 0.2500
Y 0.2544 0.7456 0.2500
Y 0.7456 0.2544 0.7500
Ag 0.3170 0.4779 0.7180
Ag 0.4779 0.3170 0.2180
Ag 0.5221 0.6830 0.7820
Ag 0.6830 0.5221 0.2820
I 0.0109 0.2380 0.6461
I 0.1453 0.6170 0.9116
I 0.2380 0.0109 0.1461
I 0.2851 0.4670 0.3686
I 0.3830 0.8547 0.5884
I 0.4670 0.2851 0.8686
I 0.5330 0.7149 0.1314
I 0.6170 0.1453 0.4116
I 0.7149 0.5330 0.6314
I 0.7620 0.9891 0.8539
I 0.8547 0.3830 0.0884
I 0.9891 0.7620 0.3539

Calculated values
Energy in eV per atom: -3.190
ΔE_f (raw) in eV/f.u.: -9.335
Space group: C2/c
Volume in Å³/cell: 877.3

***

Entry 4:
A plane-wave DFT calculation with PBE-GGA was carried out for an optimized crystal structure of KYAgI6.

a = 7.5989 Å, b = 7.6047 Å, c = 7.8383 Å
α = 93.18°, β = 93.28°, γ = 114.06°
Element x y z (fractional)
K 0.0000 0.0000 0.0000
Y 0.3336 0.6666 0.5014
Ag 0.6797 0.3166 0.5028
I 0.0177 0.6227 0.2423
I 0.0268 0.3570 0.6926
I 0.3815 0.9818 0.7628
I 0.4086 0.3692 0.2671
I 0.6293 0.5891 0.7371
I 0.6447 0.9733 0.3116

Calculated values
Energy in eV per atom: -3.140
ΔE_f (raw) in eV/f.u.: -8.548
Space group: P1
Volume in Å³/cell: 411.4

***

Q: Which DOS at the Fermi energy values were calculated for the entries above? A: 4.79; 7.73; 0.00; 5.84, in states/eV/cell.